Entry 1:
Density functional theory data (PBE) for ScAlRu2 after structural relaxation.

Lattice parameters (Å, degrees): 4.475 2.915 4.927 76.70 90.00 90.00
Sites, in units of the cell vectors:
Ru (0.500, 0.240, 0.218)
Sc (0.000, 0.473, 0.513)
Al (0.500, 0.876, 0.756)
Ru (0.000, 0.911, 0.013)

Values from the calculation:
- Fermi-level density of states (states/eV/atom) = 1.13
- magnetization (μB/f.u.) = 0.0
- calculated formation energy (eV per atom) = -0.33

---

Entry 2:
Density functional theory data (PBE) for K2TlHg after structural relaxation.

Lattice parameters (Å, degrees): 4.143 4.145 9.595 90.00 90.00 90.00
Sites, in units of the cell vectors:
K (0.500, 0.500, 0.314)
Hg (0.500, 0.500, 0.709)
K (0.000, 0.000, 0.927)
Tl (0.000, 0.000, 0.550)

Values from the calculation:
- Fermi-level density of states (states/eV/atom) = 0.44
- E above lowest polymorph (kcal/mol of atoms) = 0.74
- magnetization (μB/f.u.) = 0.0
- calculated formation energy (eV per atom) = -0.11

---

Entry 3:
Density functional theory data (PBE) for ZnIn2CoCu after structural relaxation.

Lattice parameters (Å, degrees): 5.087 4.508 5.087 90.00 90.00 90.00
Sites, in units of the cell vectors:
Co (0.500, 0.500, 0.500)
In (0.500, 0.000, 0.000)
Cu (0.000, 0.500, 0.000)
In (0.000, 0.000, 0.500)
Zn (0.000, 0.000, 0.000)

Values from the calculation:
- Fermi-level density of states (states/eV/atom) = 0.79
- magnetization (μB/f.u.) = 2.0
- calculated formation energy (eV per atom) = 0.91

---

Entry 4:
Density functional theory data (PBE) for Th3SnRh after structural relaxation.

Lattice parameters (Å, degrees): 6.112 7.205 6.996 90.00 90.00 112.88
Sites, in units of the cell vectors:
Rh (0.817, 0.995, 0.750)
Rh (0.183, 0.005, 0.250)
Th (0.514, 0.825, 0.250)
Sn (0.404, 0.664, 0.750)
Th (0.061, 0.289, 0.020)
Th (0.939, 0.711, 0.980)
Th (0.486, 0.175, 0.750)
Th (0.939, 0.711, 0.520)
Th (0.061, 0.289, 0.480)
Sn (0.596, 0.336, 0.250)

Values from the calculation:
- Fermi-level density of states (states/eV/atom) = 1.25
- magnetization (μB/f.u.) = 0.0
- calculated formation energy (eV per atom) = -0.48

---

Entry 5:
Density functional theory data (PBE) for LaC2SI after structural relaxation.

Lattice parameters (Å, degrees): 4.277 4.277 5.166 90.00 90.00 90.00
Sites, in units of the cell vectors:
I (0.000, 0.000, 0.500)
C (0.500, 0.000, 0.000)
S (0.000, 0.000, 0.000)
La (0.500, 0.500, 0.500)
C (0.000, 0.500, 0.000)

Values from the calculation:
- Fermi-level density of states (states/eV/atom) = 0.78
- raw formation energy (meV/atom) = 1638
- magnetization (μB/f.u.) = 0.0

---

Entry 6:
Density functional theory data (PBE) for LaTmF6 after structural relaxation.

Lattice parameters (Å, degrees): 5.450 5.450 7.990 90.00 90.00 90.00
Sites, in units of the cell vectors:
La (0.000, 0.000, 0.000)
F (0.683, 0.658, 0.000)
Tm (0.500, 0.500, 0.250)
Tm (0.500, 0.500, 0.750)
F (0.206, 0.252, 0.314)
F (0.658, 0.317, 0.500)
F (0.748, 0.206, 0.186)
F (0.794, 0.748, 0.686)
F (0.317, 0.342, 0.000)
F (0.206, 0.252, 0.686)
F (0.748, 0.206, 0.814)
F (0.252, 0.794, 0.814)
La (0.000, 0.000, 0.500)
F (0.342, 0.683, 0.500)
F (0.252, 0.794, 0.186)
F (0.794, 0.748, 0.314)

Values from the calculation:
- Fermi-level density of states (states/eV/atom) = 0.00
- raw formation energy (meV/atom) = -4126
- magnetization (μB/f.u.) = 0.0

---

Entry 7:
Density functional theory data (PBE) for Ir2PdPb2 after structural relaxation.

Lattice parameters (Å, degrees): 7.008 7.008 4.044 90.00 90.00 90.00
Sites, in units of the cell vectors:
Ir (0.869, 0.631, 0.000)
Ir (0.369, 0.869, 0.000)
Ir (0.131, 0.369, 0.000)
Pb (0.175, 0.675, 0.500)
Pb (0.325, 0.175, 0.500)
Pd (0.500, 0.500, 0.000)
Pb (0.675, 0.825, 0.500)
Pb (0.825, 0.325, 0.500)
Pd (0.000, 0.000, 0.000)
Ir (0.631, 0.131, 0.000)

Values from the calculation:
- Fermi-level density of states (states/eV/atom) = 0.65
- magnetization (μB/f.u.) = 0.0
- calculated formation energy (eV per atom) = 0.30

---

Entry 8:
Density functional theory data (PBE) for Tb2PmNd4Y2 after structural relaxation.

Lattice parameters (Å, degrees): 5.125 8.113 8.103 107.38 90.00 108.41
Sites, in units of the cell vectors:
Nd (0.445, 0.890, 0.669)
Nd (0.555, 0.110, 0.331)
Nd (0.778, 0.555, 0.668)
Y (0.111, 0.223, 0.668)
Tb (0.332, 0.665, 0.000)
Pm (0.000, 0.000, 0.000)
Y (0.889, 0.777, 0.332)
Nd (0.222, 0.445, 0.332)
Tb (0.668, 0.335, 0.000)

Values from the calculation:
- Fermi-level density of states (states/eV/atom) = 1.48
- magnetization (μB/f.u.) = 0.0
- calculated formation energy (eV per atom) = 0.01

---

Which formula does entry 7 have? Ir2PdPb2

---

The lowest Fermi-level density of states belongs to which entry? LaTmF6